VASP calculation (PBE) on La2PmPrMg after structural relaxation.

Cell: 8.341 11.798 7.379 Å, 90.00 90.00 90.00°
Space group Cmcm (No. 63)
Symmetry-distinct sites (fractional):
La: 0.197 0.000 0.000 (multiplicity 8)
Pm: 0.000 0.435 0.250 (multiplicity 4)
Pr: 0.000 0.261 0.750 (multiplicity 4)
Mg: 0.000 0.185 0.250 (multiplicity 4)

Results
ΔH_f (0 K) = 0.29 eV per atom
Total moment = 0.000 Bohr magnetons per cell
Crystal system = orthorhombic